The following is a DFT calculation (PBE with a Hubbard U) of crystalline Ga2CoSeO6 at its relaxed geometry.

Lattice parameters (Å, degrees): 5.5163 6.7169 6.7169 82.74 80.45 80.45
Last column: nearest neighbours and their distance in Å.
Element x y z (fractional)
Ga 0.2487 0.7924 0.6029  4 O 1.83-1.98
Ga 0.2513 0.3971 0.2076  4 O 1.83-1.98
Ga 0.7513 0.2076 0.3971  4 O 1.83-1.98
Ga 0.7487 0.6029 0.7924  4 O 1.83-1.98
Co 0.2500 0.9035 0.0965  6 O 2.00-2.21
Co 0.7500 0.0965 0.9035  6 O 2.00-2.21
Se 0.2500 0.2554 0.7446  4 O 1.83-2.00
Se 0.7500 0.7446 0.2554  4 O 1.83-2.00
O 0.1471 0.0053 0.7924  1 Se 1.83, 1 Ga 1.98
O 0.3529 0.2076 0.9947  1 Se 1.83, 1 Ga 1.98
O 0.8529 0.9947 0.2076  1 Se 1.83, 1 Ga 1.98
O 0.6471 0.7924 0.0053  1 Se 1.83, 1 Ga 1.98
O 0.4069 0.8820 0.3477  1 Ga 1.87, 1 Se 2.00, 1 Co 2.00
O 0.0931 0.6523 0.1180  1 Ga 1.87, 1 Se 2.00, 1 Co 2.00
O 0.5931 0.1180 0.6523  1 Ga 1.87, 1 Se 2.00, 1 Co 2.00
O 0.9069 0.3477 0.8820  1 Ga 1.87, 1 Se 2.00, 1 Co 2.00
O 0.9442 0.7293 0.5835  2 Ga 1.83
O 0.5558 0.4165 0.2707  2 Ga 1.83
O 0.0558 0.2707 0.4165  2 Ga 1.83
O 0.4442 0.5835 0.7293  2 Ga 1.83

Results
Total energy: -0.421 Ry per atom
D(E_F): 0.00 states/eV/atom
Calculated volume: 12.039 Å³/atom
Space group: C2/c (15)

---

The following is a DFT calculation (PBE with a Hubbard U) of crystalline Ga2CoSiO at its relaxed geometry.

Lattice parameters (Å, degrees): 4.7639 4.3794 4.7639 90.00 90.00 90.00
Last column: nearest neighbours and their distance in Å.
Element x y z (fractional)
Si 0.0000 0.0000 0.0000  2 Co 2.19, 4 Ga 2.38
Co 0.0000 0.5000 0.0000  2 Si 2.19
O 0.5000 0.5000 0.5000  8 Ga 3.24, 4 Co 3.37
Ga 0.0000 0.0000 0.5000  2 Si 2.38
Ga 0.5000 0.0000 0.0000  2 Si 2.38

Results
Total energy: -0.260 Ry per atom
D(E_F): 0.47 states/eV/atom
Calculated volume: 19.878 Å³/atom
Space group: P4/mmm (123)

---

The following is a DFT calculation (PBE with a Hubbard U) of crystalline Sm2GaCoO6 at its relaxed geometry.

Lattice parameters (Å, degrees): 5.3614 5.5219 7.6336 90.00 89.69 90.00
Last column: nearest neighbours and their distance in Å.
Element x y z (fractional)
Sm 0.0141 0.9432 0.2503  6 O 2.32-2.53
Sm 0.5141 0.5568 0.7503  6 O 2.32-2.53
Sm 0.9859 0.0568 0.7497  6 O 2.32-2.53
Sm 0.4859 0.4432 0.2497  6 O 2.32-2.53
Ga 0.5000 0.0000 0.5000  6 O 1.99-2.01
Ga 0.0000 0.5000 0.0000  6 O 1.99-2.01
Co 0.5000 0.0000 0.0000  6 O 1.95-1.97
Co 0.0000 0.5000 0.5000  6 O 1.95-1.97
O 0.2987 0.7092 0.0470  1 Co 1.97, 1 Ga 2.01
O 0.7987 0.7908 0.5470  1 Co 1.97, 1 Ga 2.01
O 0.7013 0.2908 0.9530  1 Co 1.97, 1 Ga 2.01
O 0.2013 0.2092 0.4530  1 Co 1.97, 1 Ga 2.01
O 0.2917 0.7036 0.4536  1 Co 1.96, 1 Ga 2.01
O 0.7917 0.7964 0.9536  1 Co 1.96, 1 Ga 2.01
O 0.7083 0.2964 0.5464  1 Co 1.96, 1 Ga 2.01
O 0.2083 0.2036 0.0464  1 Co 1.96, 1 Ga 2.01
O 0.9115 0.5217 0.2530  1 Co 1.95, 1 Ga 1.99
O 0.4115 0.9783 0.7530  1 Co 1.95, 1 Ga 1.99
O 0.0885 0.4783 0.7470  1 Co 1.95, 1 Ga 1.99
O 0.5885 0.0217 0.2470  1 Co 1.95, 1 Ga 1.99

Results
Total energy: -0.526 Ry per atom
D(E_F): 0.00 states/eV/atom
Calculated volume: 11.300 Å³/atom
Space group: P2_1/c (14)

---

The following is a DFT calculation (PBE with a Hubbard U) of crystalline Sr2GaCoO5 at its relaxed geometry.

Lattice parameters (Å, degrees): 3.2789 7.3574 10.2721 90.00 90.00 102.88
Last column: nearest neighbours and their distance in Å.
Element x y z (fractional)
Sr 0.8664 0.7327 0.7985  7 O 2.53-2.75
Sr 0.1127 0.2254 0.6848  6 O 2.54-2.75
Sr 0.1336 0.2673 0.2985  7 O 2.53-2.75
Sr 0.8873 0.7746 0.1848  6 O 2.54-2.75
Ga 0.5596 0.1193 0.9532  4 O 1.84-1.93
Ga 0.4404 0.8807 0.4532  4 O 1.84-1.93
Co 0.7759 0.5517 0.5186  1 O 1.80
Co 0.2241 0.4483 0.0186  1 O 1.80
O 0.3487 0.6974 0.0004  1 Co 1.80
O 0.6858 0.3717 0.8879  1 Ga 1.93
O 0.5003 0.0006 0.7940  1 Ga 1.84
O 0.2872 0.5744 0.6423  2 Co 2.08
O 0.9495 0.8991 0.5443  2 Ga 1.89
O 0.6513 0.3026 0.5004  1 Co 1.80
O 0.3142 0.6283 0.3879  1 Ga 1.93
O 0.4997 0.9994 0.2940  1 Ga 1.84
O 0.7128 0.4256 0.1423  2 Co 2.08
O 0.0505 0.1009 0.0443  2 Ga 1.89

Results
Total energy: -0.446 Ry per atom
Calculated volume: 13.421 Å³/atom
Space group: Cmc2_1 (36)

---

The following is a DFT calculation (PBE with a Hubbard U) of crystalline Sr2GaCo2O7 at its relaxed geometry.

Lattice parameters (Å, degrees): 12.4334 12.4334 5.1940 77.94 77.94 23.84
Last column: nearest neighbours and their distance in Å.
Element x y z (fractional)
Sr 0.8587 0.8451 0.6415  8 O 2.50-2.71
Sr 0.1549 0.1413 0.3585  8 O 2.50-2.71
Sr 0.3587 0.3451 0.1547  8 O 2.50-2.71
Sr 0.6549 0.6413 0.8453  8 O 2.50-2.71
Ga 0.7004 0.7996 0.1807  4 O 1.86-1.91
Ga 0.2004 0.2996 0.8193  4 O 1.86-1.91
Co 0.5630 0.5472 0.4439  4 O 1.76-1.92
Co 0.9528 0.9370 0.0541  4 O 1.76-1.92
Co 0.0630 0.0472 0.9459  4 O 1.76-1.92
Co 0.4528 0.4370 0.5561  4 O 1.76-1.92
O 0.6824 0.1904 0.3245  2 Co 1.76-1.92
O 0.3284 0.1716 0.1650  2 Ga 1.91
O 0.1825 0.6903 0.3027  2 Co 1.76-1.92
O 0.1948 0.1565 0.8015  1 Ga 1.86
O 0.8332 0.2996 0.1719  2 Co 1.77-1.92
O 0.3332 0.7995 0.1953  2 Co 1.77-1.92
O 0.8284 0.6716 0.8350  2 Ga 1.91
O 0.3097 0.8175 0.6973  2 Co 1.76-1.92
O 0.8096 0.3176 0.6755  2 Co 1.76-1.92
O 0.6948 0.6565 0.3472  1 Ga 1.86
O 0.8435 0.8052 0.1985  1 Ga 1.86
O 0.3435 0.3052 0.6528  1 Ga 1.86
O 0.7004 0.1668 0.8281  2 Co 1.77-1.92
O 0.2005 0.6668 0.8047  2 Co 1.77-1.92

Results
Total energy: -0.431 Ry per atom
D(E_F): 0.46 states/eV/atom
Calculated volume: 13.209 Å³/atom
Space group: Ima2 (46)

---

The following is a DFT calculation (PBE with a Hubbard U) of crystalline Ga2CoTeO at its relaxed geometry.

Lattice parameters (Å, degrees): 4.4482 4.7215 4.4482 90.00 90.00 90.00
Last column: nearest neighbours and their distance in Å.
Element x y z (fractional)
Te 0.0000 0.5000 0.0000  2 Co 2.36
Co 0.0000 0.0000 0.0000  4 Ga 2.22, 2 Te 2.36
O 0.5000 0.5000 0.5000  4 Te 3.15, 8 Ga 3.24
Ga 0.0000 0.0000 0.5000  2 Co 2.22
Ga 0.5000 0.0000 0.0000  2 Co 2.22

Results
Total energy: -0.257 Ry per atom
D(E_F): 0.52 states/eV/atom
Calculated volume: 18.685 Å³/atom
Space group: P4/mmm (123)

---

The following is a DFT calculation (PBE with a Hubbard U) of crystalline TiGa2CoO6 at its relaxed geometry.

Lattice parameters (Å, degrees): 5.0981 5.0981 5.4577 62.15 62.15 60.00
Last column: nearest neighbours and their distance in Å.
Element x y z (fractional)
Ti 0.3098 0.3098 0.0705  6 O 1.91-2.09
Ga 0.5182 0.5182 0.4454  6 O 1.98-2.07
Ga 0.0253 0.0253 0.9240  3 O 1.92
Co 0.8085 0.8085 0.5745  6 O 2.04-2.21
O 0.6012 0.2329 0.2445  1 Ti 1.91, 1 Ga 1.98
O 0.2329 0.9214 0.2445  1 Ti 1.91, 1 Ga 1.98
O 0.9214 0.6012 0.2445  1 Ti 1.91, 1 Ga 1.98
O 0.4006 0.7163 0.7558  2 Ga 1.92-2.07, 1 Co 2.04, 1 Ti 2.09
O 0.7163 0.1273 0.7558  2 Ga 1.92-2.07, 1 Co 2.04, 1 Ti 2.09
O 0.1273 0.4006 0.7558  2 Ga 1.92-2.07, 1 Co 2.04, 1 Ti 2.09

Results
Total energy: -0.506 Ry per atom
D(E_F): 0.00 states/eV/atom
Calculated volume: 10.345 Å³/atom
Space group: R3 (146)

---

The following is a DFT calculation (PBE with a Hubbard U) of crystalline VGa2CoO6 at its relaxed geometry.

Lattice parameters (Å, degrees): 5.5238 6.9692 6.9692 95.98 74.54 74.54
Last column: nearest neighbours and their distance in Å.
Element x y z (fractional)
V 0.2500 0.1946 0.8054  4 O 1.80-1.88
V 0.7500 0.8054 0.1946  4 O 1.80-1.88
Ga 0.3039 0.7241 0.5647  4 O 1.84-2.00
Ga 0.1961 0.4353 0.2759  4 O 1.84-2.00
Ga 0.6961 0.2759 0.4353  4 O 1.84-2.00
Ga 0.8039 0.5647 0.7241  4 O 1.84-2.00
Co 0.2500 0.9097 0.0903  6 O 2.12-2.30
Co 0.7500 0.0903 0.9097  6 O 2.12-2.30
O 0.1650 0.9507 0.8045  1 V 1.88, 1 Ga 2.00
O 0.3350 0.1955 0.0493  1 V 1.88, 1 Ga 2.00
O 0.8350 0.0493 0.1955  1 V 1.88, 1 Ga 2.00
O 0.6650 0.8045 0.9507  1 V 1.88, 1 Ga 2.00
O 0.4158 0.8679 0.3584  1 V 1.80, 1 Ga 1.90
O 0.0842 0.6416 0.1321  1 V 1.80, 1 Ga 1.90
O 0.5842 0.1321 0.6416  1 V 1.80, 1 Ga 1.90
O 0.9158 0.3584 0.8679  1 V 1.80, 1 Ga 1.90
O 0.9924 0.6890 0.5426  2 Ga 1.84-1.86
O 0.5076 0.4574 0.3110  2 Ga 1.84-1.86
O 0.0076 0.3110 0.4574  2 Ga 1.84-1.86
O 0.4924 0.5426 0.6890  2 Ga 1.84-1.86

Results
Total energy: -0.473 Ry per atom
D(E_F): 0.00 states/eV/atom
Calculated volume: 12.238 Å³/atom
Space group: C2/c (15)